Density functional theory data (PBE) for a relaxed structure of CuNiMo2.

Cell: 3.172 3.172 5.504 Å, 90.00 90.00 90.00°
Fractional positions:
Cu 0.000 0.000 0.000
Ni 0.500 0.500 0.788
Mo 0.000 0.000 0.523
Mo 0.500 0.500 0.266

Summary:
The formation enthalpy at 0 K comes out at 0.154 eV per atom. Its space group is P4mm, No. 99.

***

Density functional theory data (PBE) for a relaxed structure of SrNi2Ge.

Cell: 4.135 4.135 10.555 Å, 90.00 90.00 120.00°
Fractional positions:
Sr 0.333 0.667 0.250
Sr 0.667 0.333 0.750
Ni 0.333 0.667 0.533
Ni 0.333 0.667 0.967
Ni 0.667 0.333 0.033
Ni 0.667 0.333 0.467
Ge 0.000 0.000 0.000
Ge 0.000 0.000 0.500

Summary:
The formation enthalpy at 0 K comes out at -0.422 eV per atom. Its space group is P6_3/mmc, No. 194.

***

Density functional theory data (PBE) for a relaxed structure of TlFeAs2.

Cell: 3.190 3.190 26.392 Å, 90.00 90.00 120.00°
Fractional positions:
Tl 0.000 0.000 0.000
Tl 0.333 0.667 0.667
Tl 0.667 0.333 0.333
Fe 0.000 0.000 0.751
Fe 0.333 0.667 0.418
Fe 0.667 0.333 0.084
As 0.000 0.000 0.233
As 0.000 0.000 0.473
As 0.333 0.667 0.139
As 0.333 0.667 0.900
As 0.667 0.333 0.567
As 0.667 0.333 0.806

Summary:
The formation enthalpy at 0 K comes out at 0.371 eV per atom. For the energy above the most stable polymorph in this dataset, the calculation gives 335 meV/atom. Its space group is R3m, No. 160.

***

Density functional theory data (PBE) for a relaxed structure of Tb4YSb5.

Cell: 11.639 11.639 11.639 Å, 158.20 149.01 38.21°
Fractional positions:
Tb 0.100 0.100 0.000
Tb 0.300 0.300 0.000
Tb 0.700 0.700 0.000
Tb 0.900 0.900 0.000
Y 0.500 0.500 0.000
Sb 0.000 0.500 0.500
Sb 0.200 0.700 0.500
Sb 0.400 0.900 0.500
Sb 0.600 0.100 0.500
Sb 0.800 0.300 0.500

Summary:
The raw formation energy comes out at -11.5 eV/f.u. Its space group is Immm, No. 71.

***

Density functional theory data (PBE) for a relaxed structure of TbErGeSe.

Cell: 4.119 4.119 20.321 Å, 90.00 90.00 120.00°
Fractional positions:
Tb 0.000 0.000 0.000
Tb 0.333 0.667 0.667
Tb 0.667 0.333 0.333
Er 0.000 0.000 0.491
Er 0.333 0.667 0.158
Er 0.667 0.333 0.825
Ge 0.000 0.000 0.747
Ge 0.333 0.667 0.413
Ge 0.667 0.333 0.080
Se 0.000 0.000 0.244
Se 0.333 0.667 0.911
Se 0.667 0.333 0.578

Summary:
The raw formation energy comes out at -5.5 eV/f.u. Its space group is R3m, No. 160.

***

Density functional theory data (PBE) for a relaxed structure of Y2RuBr.

Cell: 4.742 3.509 11.020 Å, 90.00 90.00 90.00°
Fractional positions:
Y 0.000 0.000 0.000
Y 0.000 0.500 0.500
Y 0.500 0.000 0.277
Y 0.500 0.500 0.777
Ru 0.000 0.000 0.754
Ru 0.000 0.500 0.254
Br 0.500 0.000 0.544
Br 0.500 0.500 0.044

Summary:
For the energy above the most stable polymorph in this dataset, the calculation gives 283 meV/atom. The raw formation energy comes out at -2.0 eV/f.u. Its space group is Amm2, No. 38.